(1)
## K2ZnH8N4 (PBE)

Data for a relaxed structure of K2ZnH8N4.

Unit cell a=7.3391 b=6.9521 c=13.0439 alpha=90.00 beta=106.27 gamma=90.00
Closest atoms and distances in Å follow each position.
Atoms (fractional coordinates):
1 K 0.9225 0.3609 0.6000  7 H 2.67-2.99, 5 N 2.80-2.96
2 K 0.0775 0.6391 0.4000  7 H 2.67-2.99, 5 N 2.80-2.96
3 K 0.5752 0.8693 0.8942  7 H 2.69-2.94, 5 N 2.78-2.86
4 K 0.4248 0.3693 0.6058  7 H 2.69-2.94, 5 N 2.78-2.86
5 K 0.0775 0.8609 0.9000  7 H 2.67-2.99, 5 N 2.80-2.96
6 K 0.9225 0.1391 0.1000  7 H 2.67-2.99, 5 N 2.80-2.96
7 K 0.4248 0.1307 0.1058  7 H 2.69-2.94, 5 N 2.78-2.86
8 K 0.5752 0.6307 0.3942  7 H 2.69-2.94, 5 N 2.78-2.86
9 N 0.8824 0.7339 0.0551  2 H 1.03
10 N 0.2405 0.5188 0.7474  2 H 1.02-1.03
11 N 0.7489 0.5394 0.7436  2 H 1.03
12 N 0.7489 0.9606 0.2436  2 H 1.03
13 N 0.4299 0.7696 0.5576  2 H 1.03
14 N 0.1176 0.2339 0.4449  2 H 1.03
15 N 0.5701 0.2304 0.4424  2 H 1.03
16 N 0.7595 0.0188 0.7526  2 H 1.02-1.03
17 N 0.2511 0.4606 0.2564  2 H 1.03
18 N 0.7595 0.4812 0.2526  2 H 1.02-1.03
19 N 0.1176 0.2661 0.9449  2 H 1.03
20 N 0.4299 0.7304 0.0576  2 H 1.03
21 N 0.5701 0.2696 0.9424  2 H 1.03
22 N 0.2511 0.0394 0.7564  2 H 1.03
23 N 0.8824 0.7661 0.5551  2 H 1.03
24 N 0.2405 0.9812 0.2474  2 H 1.02-1.03
25 H 0.1174 0.0153 0.7065  1 N 1.03
26 H 0.3357 0.4788 0.2063  1 N 1.03
27 H 0.1286 0.3947 0.9854  1 N 1.03
28 H 0.8654 0.1046 0.7407  1 N 1.03
29 H 0.8826 0.5153 0.7935  1 N 1.03
30 H 0.0192 0.7320 0.1044  1 N 1.03
31 H 0.3533 0.8883 0.2627  1 N 1.02
32 H 0.9808 0.2680 0.8956  1 N 1.03
33 H 0.3357 0.0212 0.7063  1 N 1.03
34 H 0.6567 0.2228 0.3925  1 N 1.03
35 H 0.6643 0.9788 0.2937  1 N 1.03
36 H 0.6467 0.1117 0.7373  1 N 1.02
37 H 0.3533 0.6117 0.7627  1 N 1.02
38 H 0.8714 0.6053 0.0146  1 N 1.03
39 H 0.6004 0.3948 0.9861  1 N 1.03
40 H 0.6567 0.2772 0.8925  1 N 1.03
41 H 0.3996 0.8948 0.5139  1 N 1.03
42 H 0.1346 0.8954 0.2593  1 N 1.03
43 H 0.6467 0.3883 0.2373  1 N 1.02
44 H 0.1286 0.1053 0.4854  1 N 1.03
45 H 0.3433 0.7228 0.1075  1 N 1.03
46 H 0.0192 0.7680 0.6044  1 N 1.03
47 H 0.8826 0.9847 0.2935  1 N 1.03
48 H 0.3433 0.7772 0.6075  1 N 1.03
49 H 0.8714 0.8947 0.5146  1 N 1.03
50 H 0.6643 0.5212 0.7937  1 N 1.03
51 H 0.3996 0.6052 0.0139  1 N 1.03
52 H 0.1346 0.6046 0.7593  1 N 1.03
53 H 0.6004 0.1052 0.4861  1 N 1.03
54 H 0.1174 0.4847 0.2065  1 N 1.03
55 H 0.9808 0.2320 0.3956  1 N 1.03
56 H 0.8654 0.3954 0.2407  1 N 1.03
57 Zn 0.2935 0.2860 0.8466  4 N 2.04-2.07
58 Zn 0.7065 0.7140 0.1534  4 N 2.04-2.07
59 Zn 0.2935 0.2140 0.3466  4 N 2.04-2.07
60 Zn 0.7065 0.7860 0.6534  4 N 2.04-2.07

**Space group**: P2_1/c
**ρ**: 2.2 g/cm3
**E**: -4.602 eV/atom
**Crystal system**: monoclinic

(2)
## ErSi2NiAg (PBE)

Data for a relaxed structure of ErSi2NiAg.

Unit cell a=5.8315 b=5.8315 c=5.8315 alpha=139.54 beta=139.54 gamma=58.55
Closest atoms and distances in Å follow each position.
Atoms (fractional coordinates):
1 Ag 0.0000 0.0000 0.0000  4 Si 2.45
2 Ni 0.5000 0.5000 0.0000  4 Si 2.45
3 Er 0.7500 0.2500 0.5000  8 Si 3.08, 4 Ag 3.25, 4 Ni 3.25
4 Si 0.3638 0.8638 0.5000  1 Si 2.31, 2 Ag 2.45, 2 Ni 2.45
5 Si 0.1362 0.6362 0.5000  1 Si 2.31, 2 Ni 2.45, 2 Ag 2.45

**Total magnetic moment**: 0.0002 μB per atom
**Space group**: I-4m2
**ρ**: 7.8 g/cm3
**E**: -5.295 eV/atom
**Crystal system**: tetragonal

(3)
## TaNbFe (PBE)

Data for a relaxed structure of TaNbFe.

Unit cell a=4.1913 b=4.1913 c=4.1913 alpha=60.00 beta=60.00 gamma=60.00
Closest atoms and distances in Å follow each position.
Atoms (fractional coordinates):
1 Ta 0.7500 0.7500 0.7500  4 Fe 2.57
2 Fe 0.0000 0.0000 0.0000  4 Ta 2.57, 4 Nb 2.57
3 Nb 0.2500 0.2500 0.2500  4 Fe 2.57

**Total magnetic moment**: 0.0010 μB per atom
**Space group**: F-43m
**ρ**: 10.5 g/cm3
**E**: -9.821 eV/atom
**E_form**: 0.264 eV/atom
**Crystal system**: cubic
**Energy relative to the lowest polymorph listed for this composition**: 0 meV per atom

(4)
## Pr3SmPt8 (PBE)

Data for a relaxed structure of Pr3SmPt8.

Unit cell a=9.5515 b=9.5515 c=9.5515 alpha=33.54 beta=33.54 gamma=33.54
Closest atoms and distances in Å follow each position.
Atoms (fractional coordinates):
1 Pt 0.0624 0.5612 0.0624  6 Pt 2.75-2.76
2 Pt 0.5612 0.0624 0.0624  6 Pt 2.75-2.76
3 Pt 0.5629 0.5629 0.0632  6 Pt 2.74-2.77
4 Pt 0.5629 0.0632 0.5629  6 Pt 2.74-2.77
5 Pt 0.0632 0.5629 0.5629  6 Pt 2.74-2.77
6 Pt 0.3125 0.3125 0.3125  6 Pt 2.76-2.77
7 Pt 0.0624 0.0624 0.5612  6 Pt 2.75-2.76
8 Pt 0.8124 0.8124 0.8124  6 Pt 2.74-2.75
9 Pr 0.0003 0.0003 0.0003  12 Pt 3.23-3.25, 1 Sm 3.37, 3 Pr 3.38
10 Pr 0.4996 0.4996 0.4996  12 Pt 3.21-3.23, 3 Sm 3.37, 1 Pr 3.39
11 Pr 0.6250 0.6250 0.6250  12 Pt 3.23-3.24, 4 Pr 3.38-3.39
12 Sm 0.1251 0.1251 0.1251  12 Pt 3.22-3.23, 4 Pr 3.37

**Total magnetic moment**: 0.0007 μB per atom
**Space group**: R3m
**ρ**: 15.0 g/cm3
**E**: -6.661 eV/atom
**E_form**: -1.038 eV/atom
**Crystal system**: trigonal

(5)
## TbCdO3 (PBE)

Data for a relaxed structure of TbCdO3.

Unit cell a=5.9855 b=5.9855 c=5.9855 alpha=59.04 beta=59.04 gamma=59.04
Closest atoms and distances in Å follow each position.
Atoms (fractional coordinates):
1 Tb 0.5000 0.5000 0.5000  6 O 2.25
2 Tb 0.0000 0.0000 0.0000  6 O 2.25
3 O 0.8866 0.2500 0.6134  1 Cd 2.14, 2 Tb 2.25
4 O 0.1134 0.7500 0.3866  1 Cd 2.14, 2 Tb 2.25
5 O 0.6134 0.8866 0.2500  1 Cd 2.14, 2 Tb 2.25
6 O 0.7500 0.3866 0.1134  1 Cd 2.14, 2 Tb 2.25
7 O 0.3866 0.1134 0.7500  1 Cd 2.14, 2 Tb 2.25
8 O 0.2500 0.6134 0.8866  1 Cd 2.14, 2 Tb 2.25
9 Cd 0.7500 0.7500 0.7500  3 O 2.14
10 Cd 0.2500 0.2500 0.2500  3 O 2.14

**Total magnetic moment**: 0.2000 μB per atom
**Space group**: R-3c
**ρ**: 7.2 g/cm3
**E**: -5.972 eV/atom
**Crystal system**: trigonal

(6)
## NaAlNiS3 (PBE)

Data for a relaxed structure of NaAlNiS3.

Unit cell a=7.4269 b=3.4640 c=9.3159 alpha=90.00 beta=106.65 gamma=90.00
Closest atoms and distances in Å follow each position.
Atoms (fractional coordinates):
1 S 0.0458 0.7500 0.8540  3 Al 2.34-2.43
2 S 0.7182 0.2500 0.5254  3 Ni 2.20-2.23
3 S 0.9542 0.2500 0.1460  3 Al 2.34-2.43
4 S 0.2818 0.7500 0.4746  3 Ni 2.20-2.23
5 S 0.3942 0.2500 0.1506  1 Ni 2.29, 2 Al 2.36
6 S 0.6058 0.7500 0.8494  1 Ni 2.29, 2 Al 2.36
7 Na 0.7208 0.7500 0.2603  6 S 2.86-3.02
8 Na 0.2792 0.2500 0.7397  6 S 2.86-3.02
9 Ni 0.4138 0.2500 0.4006  4 S 2.20-2.29
10 Ni 0.5862 0.7500 0.5994  4 S 2.20-2.29
11 Al 0.1693 0.7500 0.1147  5 S 2.34-2.43
12 Al 0.8307 0.2500 0.8853  5 S 2.34-2.43

**Total magnetic moment**: 0.1546 μB per atom
**Space group**: P2_1/m
**ρ**: 3.0 g/cm3
**E**: -4.641 eV/atom
**Crystal system**: monoclinic
**Energy relative to the lowest polymorph listed for this composition**: 0 meV per atom

(7)
## TlW3CN (PBE)

Data for a relaxed structure of TlW3CN.

Unit cell a=3.1826 b=3.1826 c=18.7149 alpha=90.00 beta=90.00 gamma=120.00
Closest atoms and distances in Å follow each position.
Atoms (fractional coordinates):
1 W 0.0000 0.0000 0.0000  6 C 2.24
2 W 0.0000 0.0000 0.5000  6 N 2.17
3 W 0.6667 0.3333 0.1250  3 C 2.12
4 W 0.6667 0.3333 0.3820  3 N 2.12
5 W 0.3333 0.6667 0.6180  3 N 2.12
6 W 0.3333 0.6667 0.8750  3 C 2.12
7 C 0.6667 0.3333 0.9318  6 W 2.12-2.24
8 C 0.3333 0.6667 0.0682  6 W 2.12-2.24
9 N 0.6667 0.3333 0.5614  6 W 2.12-2.17
10 N 0.3333 0.6667 0.4386  6 W 2.12-2.17
11 Tl 0.0000 0.0000 0.2540  6 W 3.02-3.04, 6 Tl 3.18
12 Tl 0.0000 0.0000 0.7460  6 W 3.02-3.04, 6 Tl 3.18

**Total magnetic moment**: 0.0006 μB per atom
**Space group**: P-3m1
**ρ**: 15.8 g/cm3
**E**: -9.355 eV/atom
**Crystal system**: trigonal

(8)
## NaTbZnS3 (PBE)

Data for a relaxed structure of NaTbZnS3.

Unit cell a=8.0099 b=3.9413 c=9.5683 alpha=90.00 beta=105.28 gamma=90.00
Closest atoms and distances in Å follow each position.
Atoms (fractional coordinates):
1 Zn 0.0796 0.2500 0.6059  4 S 2.33-2.41
2 Zn 0.9204 0.7500 0.3941  4 S 2.33-2.41
3 Tb 0.3280 0.7500 0.8524  6 S 2.73-2.86
4 Tb 0.6720 0.2500 0.1476  6 S 2.73-2.86
5 S 0.0848 0.2500 0.8503  1 Zn 2.33
6 S 0.9152 0.7500 0.1497  1 Zn 2.33
7 S 0.7857 0.2500 0.4568  3 Zn 2.40-2.41
8 S 0.2143 0.7500 0.5432  3 Zn 2.40-2.41
9 S 0.4373 0.7500 0.1486  3 Tb 2.73-2.74, 2 Na 2.87
10 S 0.5627 0.2500 0.8514  3 Tb 2.73-2.74, 2 Na 2.87
11 Na 0.1904 0.2500 0.1833  5 S 2.87-3.07
12 Na 0.8096 0.7500 0.8167  5 S 2.87-3.07

**Total magnetic moment**: 0.0004 μB per atom
**Space group**: P2_1/m
**ρ**: 3.9 g/cm3
**E**: -4.683 eV/atom
**Crystal system**: monoclinic
**Energy relative to the lowest polymorph listed for this composition**: 3 meV per atom